1.
# Ca3Cr2Si3O12 (SCAN, single point on PBEsol structure)
data_Ca3Cr2Si3O12
_space_group_name_H-M_alt 'I a -3 d'
_space_group_IT_number 230
_space_group_name_Hall '-I 4bd 2c 3'
_cell_length_a 11.981
_cell_length_b 11.981
_cell_length_c 11.981
_cell_angle_alpha 90.00
_cell_angle_beta 90.00
_cell_angle_gamma 90.00
loop_
_atom_site_label
_atom_site_fract_x
_atom_site_fract_y
_atom_site_fract_z
_atom_site_occupancy
Ca1 0.000 0.250 0.125 1
Cr1 0.000 0.000 0.000 1
Si1 0.000 0.250 0.375 1
O1 0.039 0.048 0.654 1
# * DFT total energy: -11.683 eV/atom
# * formation energy without anion corrections: -3.15 eV/atom
# * N(E_F): 0.000 states/eV per atom
# * crystal system: cubic

2.
# CaCr2Si8O20 (SCAN, single point on PBEsol structure)
data_CaCr2Si8O20
_space_group_name_H-M_alt 'P -4 21 c'
_space_group_IT_number 114
_space_group_name_Hall 'P -4 2n'
_cell_length_a 7.251
_cell_length_b 7.251
_cell_length_c 15.498
_cell_angle_alpha 90.00
_cell_angle_beta 90.00
_cell_angle_gamma 90.00
loop_
_atom_site_label
_atom_site_fract_x
_atom_site_fract_y
_atom_site_fract_z
_atom_site_occupancy
Ca1 0.000 0.000 0.000 1
Cr1 0.000 0.500 0.077 1
Si1 0.182 0.733 0.339 1
Si2 0.187 0.252 0.859 1
O1 0.031 0.272 0.373 1
O2 0.039 0.780 0.868 1
O3 0.094 0.287 0.618 1
O4 0.121 0.736 0.064 1
O5 0.181 0.744 0.235 1
# * DFT total energy: -10.999 eV/atom
# * formation energy without anion corrections: -2.90 eV/atom
# * N(E_F): 0.000 states/eV per atom
# * crystal system: tetragonal